# Dy4GeCl5, optimized geometry, DFT PBE
# - Volume: 27.405 Å³ per atom
# - VASP energy: -4.911 eV per atom
# - ρ: 5.45 g/cm3
data_Dy4GeCl5
_chemical_formula_sum 'Dy8 Ge2 Cl10'
_cell_length_a 17.5000
_cell_length_b 3.9552
_cell_length_c 8.1213
_cell_angle_alpha 90.00
_cell_angle_beta 102.82
_cell_angle_gamma 90.00
_space_group_name_H-M_alt 'C 1 2/m 1'
_space_group_IT_number 12
_space_group_name_Hall '-C 2y'
loop_
_atom_site_label
_atom_site_fract_x
_atom_site_fract_y
_atom_site_fract_z
Dy1 0.0008 0.0000 0.2333
Dy2 0.1567 0.5000 0.0849
Ge1 0.0000 0.5000 0.0000
Cl1 0.0000 0.5000 0.5000
Cl2 0.1665 0.0000 0.3230
Cl3 0.1726 0.0000 0.8488